No. 1
CsSe3I, relaxed, DFT PBEsol; symmetry = Pm-3m
1.0
5.487 0.000 0.000
0.000 5.487 0.000
0.000 0.000 5.487
Cs Se I
1 3 1
Cartesian
0.000 0.000 0.000
0.000 2.743 2.743
2.743 0.000 2.743
2.743 2.743 0.000
2.743 2.743 2.743

No. 2
CsSiTeI2, relaxed, DFT PBEsol; symmetry = P4/mmm
1.0
5.749 0.000 0.000
0.000 5.749 0.000
0.000 0.000 5.364
Cs Si Te I
1 1 1 2
Cartesian
0.000 0.000 0.000
2.875 2.875 2.682
2.875 2.875 0.000
0.000 2.875 2.682
2.875 0.000 2.682

No. 3
Cs3SnI, relaxed, DFT PBEsol; symmetry = Pm-3m
1.0
7.050 0.000 0.000
0.000 7.050 0.000
0.000 0.000 7.050
Cs Sn I
3 1 1
Cartesian
0.000 0.000 3.525
0.000 3.525 0.000
3.525 0.000 0.000
3.525 3.525 3.525
0.000 0.000 0.000

No. 4
CsSnI3, relaxed, DFT PBEsol; symmetry = Pnma
1.0
10.361 0.000 0.000
0.000 4.669 0.000
0.000 0.000 17.540
Cs Sn I
4 4 12
Cartesian
0.853 1.167 3.004
4.328 3.502 11.773
6.033 1.167 5.766
9.508 3.502 14.536
1.635 3.502 7.717
3.545 1.167 16.487
6.815 3.502 1.053
8.725 1.167 9.823
0.330 3.502 10.782
1.683 3.502 17.532
2.118 1.167 13.843
3.063 3.502 5.073
3.497 1.167 8.762
4.850 1.167 2.012
5.511 3.502 15.528
6.863 3.502 8.778
7.298 1.167 12.467
8.243 3.502 3.697
8.677 1.167 0.008
10.030 1.167 6.758

Number 1: DOS at the Fermi energy 0.72 states/eV per atom, uncorrected formation energy -0.001 eV per atom, size of the total moment 0.00 μB/f.u.. Number 2: DOS at the Fermi energy 0.72 states/eV per atom, uncorrected formation energy -0.478 eV per atom, size of the total moment 0.00 μB/f.u.. Number 3: DOS at the Fermi energy 0.53 states/eV per atom, uncorrected formation energy -0.359 eV per atom, size of the total moment 2.01 μB/f.u.. Number 4: DOS at the Fermi energy 0.00 states/eV per atom, uncorrected formation energy -0.932 eV per atom, size of the total moment 0.00 μB/f.u..